1.
A geometry-optimized LiSm2ThTe5 structure. Source: Alexandria via LeMat-Bulk, functional PBE-GGA.

abc: 4.3725 18.7712 13.4397
angles: 90.00 90.00 90.00
Closest atoms and distances in Å follow each position.
Space group Cmc2_1 (No. 36)
One atom of each set of equivalent atoms:
1 Li 0.0000 0.0517 0.0000 (multiplicity 4)  3 Te 2.63-2.66
2 Sm 0.0000 0.3716 0.8396 (multiplicity 4)  8 Te 3.19-3.57
3 Sm 0.0000 0.3935 0.2278 (multiplicity 4)  8 Te 3.25-3.36
4 Th 0.0000 0.3006 0.5501 (multiplicity 4)  6 Te 3.00-3.16
5 Te 0.0000 0.0041 0.3208 (multiplicity 4)  1 Li 2.63
6 Te 0.0000 0.1337 0.5419 (multiplicity 4)  1 Th 3.14, 4 Sm 3.36-3.49
7 Te 0.0000 0.1837 0.8818 (multiplicity 4)  1 Li 2.94, 2 Th 3.16
8 Te 0.0000 0.2162 0.2175 (multiplicity 4)  2 Th 3.15, 3 Sm 3.19-3.33
9 Te 0.0000 0.4542 0.6120 (multiplicity 4)  2 Li 2.66

Output
total magnetization: 0.00 μB per formula unit
energy relative to the elements, uncorrected: -1.206 eV/atom



2.
A geometry-optimized LiSm3Th3Te8 structure. Source: Alexandria via LeMat-Bulk, functional PBE-GGA.

abc: 8.8495 8.8495 21.8305
angles: 90.00 90.00 120.00
Closest atoms and distances in Å follow each position.
Space group R-3m (No. 166, hexagonal axes)
One atom of each set of equivalent atoms:
1 Li 0.0000 0.0000 0.0000 (multiplicity 3)  6 Te 3.11
2 Sm 0.0000 0.5000 0.5000 (multiplicity 9)  6 Te 3.11-3.13
3 Th 0.0000 0.5000 0.0000 (multiplicity 9)  6 Te 3.14-3.16
4 Te 0.0000 0.0000 0.2481 (multiplicity 6)  3 Sm 3.11, 3 Th 3.16
5 Te 0.0037 0.5019 0.7497 (multiplicity 18)  1 Li 3.11, 2 Sm 3.13, 2 Th 3.14

Output
total magnetization: 0.00 μB per formula unit
energy relative to the elements, uncorrected: -1.225 eV/atom



3.
A geometry-optimized LiSm3Th4Te8 structure. Source: Alexandria via LeMat-Bulk, functional PBE-GGA.

abc: 8.6003 8.6003 23.0474
angles: 90.00 90.00 120.00
Closest atoms and distances in Å follow each position.
Space group R-3m (No. 166, hexagonal axes)
One atom of each set of equivalent atoms:
1 Li 0.0000 0.0000 0.0000 (multiplicity 3)  6 Te 3.01
2 Sm 0.0000 0.5000 0.0000 (multiplicity 9)  6 Te 3.11
3 Th 0.0000 0.0000 0.5000 (multiplicity 3)  6 Te 3.27
4 Th 0.0000 0.5000 0.5000 (multiplicity 9)  6 Te 3.17
5 Te 0.0000 0.0000 0.2521 (multiplicity 6)  3 Sm 3.11, 3 Th 3.17
6 Te 0.0114 0.5057 0.7455 (multiplicity 18)  1 Li 3.01, 2 Sm 3.11, 3 Th 3.17-3.27

Output
total magnetization: 0.00 μB per formula unit
energy relative to the elements, uncorrected: -1.173 eV/atom



4.
A geometry-optimized Li3SmTh2Te6 structure. Source: Alexandria via LeMat-Bulk, functional PBE-GGA.

abc: 7.5112 13.0105 7.6607
angles: 90.00 109.06 90.00
Closest atoms and distances in Å follow each position.
Space group C2/m (No. 12)
One atom of each set of equivalent atoms:
1 Li 0.0000 0.0000 0.0000 (multiplicity 2)  6 Te 3.02
2 Li 0.0000 0.3331 0.0000 (multiplicity 4)  6 Te 3.02
3 Sm 0.0000 0.5000 0.5000 (multiplicity 2)  6 Te 3.16
4 Th 0.0000 0.1665 0.5000 (multiplicity 4)  6 Te 3.17
5 Te 0.2445 0.1665 0.2326 (multiplicity 8)  3 Li 3.02, 1 Sm 3.16, 2 Th 3.17
6 Te 0.2437 0.5000 0.2322 (multiplicity 4)  3 Li 3.02, 1 Sm 3.16, 2 Th 3.17

Output
total magnetization: 0.00 μB per formula unit
energy relative to the elements, uncorrected: -1.154 eV/atom



5.
A geometry-optimized LiSm3Th2Te6 structure. Source: Alexandria via LeMat-Bulk, functional PBE-GGA.

abc: 19.3570 4.4113 8.8937
angles: 90.00 103.97 90.00
Closest atoms and distances in Å follow each position.
Space group C2/m (No. 12)
One atom of each set of equivalent atoms:
1 Li 0.0000 0.0000 0.0000 (multiplicity 2)  6 Te 2.98-3.07
2 Sm 0.0000 0.0000 0.5000 (multiplicity 2)  6 Te 3.05-3.20
3 Sm 0.1716 0.5000 0.8369 (multiplicity 4)  6 Te 3.07-3.24
4 Th 0.1716 0.5000 0.3469 (multiplicity 4)  6 Te 3.13-3.21
5 Te 0.0008 0.5000 0.2403 (multiplicity 4)  2 Li 3.07, 3 Sm 3.20-3.24, 1 Th 3.21
6 Te 0.1584 0.0000 0.0819 (multiplicity 4)  1 Li 2.98, 3 Sm 3.15-3.19, 2 Th 3.19
7 Te 0.1622 0.0000 0.5925 (multiplicity 4)  3 Sm 3.05-3.07, 3 Th 3.13-3.14

Output
total magnetization: 0.00 μB per formula unit
energy relative to the elements, uncorrected: -1.244 eV/atom



6.
A geometry-optimized LiSmThTe3 structure. Source: Alexandria via LeMat-Bulk, functional PBE-GGA.

abc: 9.3935 4.1555 9.6293
angles: 90.00 106.89 90.00
Closest atoms and distances in Å follow each position.
Space group P2_1/m (No. 11)
One atom of each set of equivalent atoms:
1 Li 0.0837 0.2500 0.0944 (multiplicity 2)  4 Te 2.71-2.75, 2 Li 2.90
2 Sm 0.1816 0.2500 0.7366 (multiplicity 2)  7 Te 3.12-3.27
3 Th 0.3560 0.7500 0.3628 (multiplicity 2)  6 Te 3.17-3.29
4 Te 0.0953 0.2500 0.3826 (multiplicity 2)  1 Li 2.75
5 Te 0.2221 0.7500 0.0067 (multiplicity 2)  3 Li 2.71-2.75
6 Te 0.4200 0.7500 0.7084 (multiplicity 2)  2 Sm 3.12, 3 Th 3.17-3.21

Output
total magnetization: 0.00 μB per formula unit
energy relative to the elements, uncorrected: -1.158 eV/atom



7.
A geometry-optimized LiSm3Tm3Te8 structure. Source: Alexandria via LeMat-Bulk, functional PBE-GGA.

abc: 8.6926 8.6926 21.4348
angles: 90.00 90.00 120.00
Closest atoms and distances in Å follow each position.
Space group R-3m (No. 166, hexagonal axes)
One atom of each set of equivalent atoms:
1 Li 0.0000 0.0000 0.0000 (multiplicity 3)  6 Te 3.07
2 Sm 0.0000 0.5000 0.5000 (multiplicity 9)  6 Te 3.12-3.13
3 Tm 0.0000 0.5000 0.0000 (multiplicity 9)  6 Te 3.03-3.04
4 Te 0.0000 0.0000 0.2535 (multiplicity 6)  3 Tm 3.04, 3 Sm 3.12
5 Te 0.0035 0.5017 0.2529 (multiplicity 18)  2 Tm 3.03, 1 Li 3.07, 2 Sm 3.13

Output
total magnetization: 0.00 μB per formula unit
energy relative to the elements, uncorrected: -1.321 eV/atom



8.
A geometry-optimized Li4SmTm3Te8 structure. Source: Alexandria via LeMat-Bulk, functional PBE-GGA.

abc: 8.6630 8.6630 21.1562
angles: 90.00 90.00 120.00
Closest atoms and distances in Å follow each position.
Space group R-3m (No. 166, hexagonal axes)
One atom of each set of equivalent atoms:
1 Li 0.0000 0.0000 0.0000 (multiplicity 3)  6 Te 3.00
2 Li 0.0000 0.5000 0.0000 (multiplicity 9)  6 Te 3.05-3.06
3 Sm 0.0000 0.0000 0.5000 (multiplicity 3)  6 Te 3.12
4 Tm 0.0000 0.5000 0.5000 (multiplicity 9)  6 Te 3.06-3.07
5 Te 0.0000 0.0000 0.2505 (multiplicity 6)  3 Li 3.05, 3 Tm 3.07
6 Te 0.0067 0.5033 0.7483 (multiplicity 18)  3 Li 3.00-3.06, 2 Tm 3.06, 1 Sm 3.12

Output
total magnetization: 0.00 μB per formula unit
energy relative to the elements, uncorrected: -1.276 eV/atom



9.
A geometry-optimized LiSm2TmTe4 structure. Source: Alexandria via LeMat-Bulk, functional PBE-GGA.

abc: 7.5323 4.3412 7.6022
angles: 90.00 109.08 90.00
Closest atoms and distances in Å follow each position.
Space group P2/m (No. 10)
One atom of each set of equivalent atoms:
1 Li 0.0000 0.0000 0.0000 (multiplicity 1)  6 Te 2.99-3.01
2 Sm 0.0000 0.5000 0.5000 (multiplicity 1)  6 Te 3.13-3.14
3 Sm 0.5000 0.0000 0.5000 (multiplicity 1)  6 Te 3.17-3.18
4 Tm 0.5000 0.5000 0.0000 (multiplicity 1)  6 Te 3.04
5 Te 0.2411 0.5000 0.2335 (multiplicity 2)  2 Li 3.01, 1 Tm 3.04, 3 Sm 3.13-3.17
6 Te 0.2500 0.0000 0.7653 (multiplicity 2)  1 Li 2.99, 2 Tm 3.04, 3 Sm 3.14-3.18

Output
total magnetization: 0.00 μB per formula unit
energy relative to the elements, uncorrected: -1.323 eV/atom



10.
A geometry-optimized LiSm2TmTe5 structure. Source: Alexandria via LeMat-Bulk, functional PBE-GGA.

abc: 4.3609 18.5946 13.1772
angles: 90.00 90.00 90.00
Closest atoms and distances in Å follow each position.
Space group Cmc2_1 (No. 36)
One atom of each set of equivalent atoms:
1 Li 0.0000 0.0591 0.0000 (multiplicity 4)  4 Te 2.62-2.88
2 Sm 0.0000 0.3729 0.8374 (multiplicity 4)  8 Te 3.20-3.46
3 Sm 0.0000 0.3943 0.2221 (multiplicity 4)  8 Te 3.21-3.42
4 Tm 0.0000 0.3026 0.5463 (multiplicity 4)  6 Te 2.91-3.07
5 Te 0.0000 0.0019 0.3200 (multiplicity 4)  1 Li 2.63
6 Te 0.0000 0.1393 0.5351 (multiplicity 4)  1 Tm 3.04, 4 Sm 3.35-3.40
7 Te 0.0000 0.1897 0.8829 (multiplicity 4)  1 Li 2.88, 2 Tm 3.07
8 Te 0.0000 0.2180 0.2042 (multiplicity 4)  2 Tm 3.04, 3 Sm 3.27-3.29
9 Te 0.0000 0.4525 0.6096 (multiplicity 4)  2 Li 2.62, 1 Tm 2.91

Output
total magnetization: 0.00 μB per formula unit
energy relative to the elements, uncorrected: -1.286 eV/atom



11.
A geometry-optimized LiSm4Tm3Te8 structure. Source: Alexandria via LeMat-Bulk, functional PBE-GGA.

abc: 8.6772 8.6772 21.6563
angles: 90.00 90.00 120.00
Closest atoms and distances in Å follow each position.
Space group R-3m (No. 166, hexagonal axes)
One atom of each set of equivalent atoms:
1 Li 0.0000 0.0000 0.0000 (multiplicity 3)  6 Te 2.98
2 Sm 0.0000 0.0000 0.5000 (multiplicity 3)  6 Te 3.19
3 Sm 0.0000 0.5000 0.5000 (multiplicity 9)  6 Te 3.14
4 Tm 0.0000 0.5000 0.0000 (multiplicity 9)  6 Te 3.04
5 Te 0.0000 0.0000 0.2540 (multiplicity 6)  3 Tm 3.04, 3 Sm 3.14
6 Te 0.0057 0.5029 0.7446 (multiplicity 18)  1 Li 2.98, 2 Tm 3.04, 3 Sm 3.14-3.19

Output
total magnetization: 0.00 μB per formula unit
energy relative to the elements, uncorrected: -1.306 eV/atom



12.
A geometry-optimized Li2SmTmTe4 structure. Source: Alexandria via LeMat-Bulk, functional PBE-GGA.

abc: 7.4952 4.3610 7.5505
angles: 90.00 109.56 90.00
Closest atoms and distances in Å follow each position.
Space group P2/m (No. 10)
One atom of each set of equivalent atoms:
1 Li 0.0000 0.0000 0.0000 (multiplicity 1)  6 Te 3.01-3.02
2 Li 0.0000 0.5000 0.5000 (multiplicity 1)  6 Te 3.08
3 Sm 0.5000 0.0000 0.5000 (multiplicity 1)  6 Te 3.13
4 Tm 0.5000 0.5000 0.0000 (multiplicity 1)  6 Te 3.07
5 Te 0.2420 0.5000 0.2408 (multiplicity 2)  3 Li 3.02-3.08, 1 Tm 3.07, 2 Sm 3.13
6 Te 0.2458 0.0000 0.7557 (multiplicity 2)  3 Li 3.01-3.08, 2 Tm 3.07, 1 Sm 3.13

Output
total magnetization: 0.00 μB per formula unit
energy relative to the elements, uncorrected: -1.282 eV/atom



13.
A geometry-optimized LiSm2Tm3Te6 structure. Source: Alexandria via LeMat-Bulk, functional PBE-GGA.

abc: 19.0171 4.3297 8.7223
angles: 90.00 103.53 90.00
Closest atoms and distances in Å follow each position.
Space group C2/m (No. 12)
One atom of each set of equivalent atoms:
1 Li 0.0000 0.0000 0.0000 (multiplicity 2)  6 Te 3.02-3.05
2 Sm 0.1714 0.5000 0.3437 (multiplicity 4)  6 Te 3.09-3.21
3 Tm 0.0000 0.0000 0.5000 (multiplicity 2)  6 Te 2.99-3.10
4 Tm 0.1699 0.5000 0.8321 (multiplicity 4)  6 Te 2.99-3.11
5 Te 0.0020 0.5000 0.7549 (multiplicity 4)  2 Li 3.05, 3 Tm 3.10-3.11, 1 Sm 3.21
6 Te 0.1616 0.0000 0.5916 (multiplicity 4)  3 Tm 2.99, 3 Sm 3.09-3.10
7 Te 0.1631 0.0000 0.0746 (multiplicity 4)  1 Li 3.02, 3 Tm 3.05-3.09, 2 Sm 3.17

Output
total magnetization: 0.00 μB per formula unit
energy relative to the elements, uncorrected: -1.292 eV/atom



14.
A geometry-optimized LiSmTm2Te4 structure. Source: Alexandria via LeMat-Bulk, functional PBE-GGA.

abc: 7.5228 4.3086 7.5424
angles: 90.00 109.11 90.00
Closest atoms and distances in Å follow each position.
Space group P2/m (No. 10)
One atom of each set of equivalent atoms:
1 Li 0.0000 0.0000 0.0000 (multiplicity 1)  6 Te 3.03-3.05
2 Sm 0.0000 0.5000 0.5000 (multiplicity 1)  6 Te 3.12
3 Tm 0.5000 0.0000 0.5000 (multiplicity 1)  6 Te 3.09-3.11
4 Tm 0.5000 0.5000 0.0000 (multiplicity 1)  6 Te 3.02
5 Te 0.2503 0.5000 0.2427 (multiplicity 2)  3 Tm 3.02-3.09, 2 Li 3.05, 1 Sm 3.12
6 Te 0.2546 0.0000 0.7607 (multiplicity 2)  3 Tm 3.02-3.11, 1 Li 3.03, 2 Sm 3.12

Output
total magnetization: 0.00 μB per formula unit
energy relative to the elements, uncorrected: -1.283 eV/atom



15.
A geometry-optimized Li4Sm3TmTe8 structure. Source: Alexandria via LeMat-Bulk, functional PBE-GGA.

abc: 8.7763 8.7763 21.2276
angles: 90.00 90.00 120.00
Closest atoms and distances in Å follow each position.
Space group R-3m (No. 166, hexagonal axes)
One atom of each set of equivalent atoms:
1 Li 0.0000 0.0000 0.0000 (multiplicity 3)  6 Te 3.11
2 Li 0.0000 0.5000 0.0000 (multiplicity 9)  6 Te 3.04-3.05
3 Sm 0.0000 0.5000 0.5000 (multiplicity 9)  6 Te 3.13-3.14
4 Tm 0.0000 0.0000 0.5000 (multiplicity 3)  6 Te 3.08
5 Te 0.0000 0.0000 0.2536 (multiplicity 6)  3 Li 3.05, 3 Sm 3.13
6 Te 0.0069 0.5034 0.2523 (multiplicity 18)  3 Li 3.04-3.11, 1 Tm 3.08, 2 Sm 3.14

Output
total magnetization: 0.00 μB per formula unit
energy relative to the elements, uncorrected: -1.290 eV/atom



16.
A geometry-optimized Li3Sm2TmTe6 structure. Source: Alexandria via LeMat-Bulk, functional PBE-GGA.

abc: 7.5851 13.1382 7.5079
angles: 90.00 109.70 90.00
Closest atoms and distances in Å follow each position.
Space group C2/m (No. 12)
One atom of each set of equivalent atoms:
1 Li 0.0000 0.0000 0.0000 (multiplicity 2)  6 Te 3.03-3.11
2 Li 0.0000 0.3320 0.0000 (multiplicity 4)  6 Te 3.03-3.09
3 Sm 0.0000 0.1665 0.5000 (multiplicity 4)  6 Te 3.13-3.14
4 Tm 0.0000 0.5000 0.5000 (multiplicity 2)  6 Te 3.06-3.07
5 Te 0.2399 0.5000 0.2433 (multiplicity 4)  3 Li 3.05-3.11, 1 Tm 3.06, 2 Sm 3.13
6 Te 0.2487 0.3371 0.7576 (multiplicity 8)  3 Li 3.03-3.09, 1 Tm 3.07, 2 Sm 3.14

Output
total magnetization: 0.00 μB per formula unit
energy relative to the elements, uncorrected: -1.288 eV/atom



17.
A geometry-optimized LiSm3Tm2Te6 structure. Source: Alexandria via LeMat-Bulk, functional PBE-GGA.

abc: 19.0797 4.3511 8.7593
angles: 90.00 103.98 90.00
Closest atoms and distances in Å follow each position.
Space group C2/m (No. 12)
One atom of each set of equivalent atoms:
1 Li 0.0000 0.0000 0.0000 (multiplicity 2)  6 Te 2.99-3.00
2 Sm 0.0000 0.0000 0.5000 (multiplicity 2)  6 Te 3.13-3.18
3 Sm 0.1661 0.5000 0.8289 (multiplicity 4)  6 Te 3.11-3.19
4 Tm 0.1660 0.5000 0.3357 (multiplicity 4)  6 Te 3.02-3.06
5 Te 0.0028 0.5000 0.2370 (multiplicity 4)  2 Li 3.00, 1 Tm 3.02, 3 Sm 3.13-3.18
6 Te 0.1617 0.0000 0.0878 (multiplicity 4)  1 Li 2.99, 2 Tm 3.06, 3 Sm 3.16-3.19
7 Te 0.1691 0.0000 0.5767 (multiplicity 4)  3 Tm 3.02-3.05, 3 Sm 3.11-3.13

Output
total magnetization: 0.00 μB per formula unit
energy relative to the elements, uncorrected: -1.312 eV/atom



18.
A geometry-optimized Li3SmTm2Te6 structure. Source: Alexandria via LeMat-Bulk, functional PBE-GGA.

abc: 7.5176 13.0219 7.4890
angles: 90.00 109.57 90.00
Closest atoms and distances in Å follow each position.
Space group C2/m (No. 12)
One atom of each set of equivalent atoms:
1 Li 0.0000 0.0000 0.0000 (multiplicity 2)  6 Te 3.00-3.07
2 Li 0.0000 0.3349 0.0000 (multiplicity 4)  6 Te 3.01-3.07
3 Sm 0.0000 0.5000 0.5000 (multiplicity 2)  6 Te 3.13
4 Tm 0.0000 0.1669 0.5000 (multiplicity 4)  6 Te 3.06
5 Te 0.2440 0.0000 0.7553 (multiplicity 4)  3 Li 3.00-3.05, 2 Tm 3.06, 1 Sm 3.13
6 Te 0.2445 0.1705 0.2454 (multiplicity 8)  3 Li 3.01-3.07, 2 Tm 3.06, 1 Sm 3.13

Output
total magnetization: 0.00 μB per formula unit
energy relative to the elements, uncorrected: -1.279 eV/atom



19.
A geometry-optimized Li3Sm2UTe6 structure. Source: Alexandria via LeMat-Bulk, functional PBE-GGA.

abc: 7.6059 13.1730 7.5389
angles: 90.00 109.63 90.00
Closest atoms and distances in Å follow each position.
Space group C2/m (No. 12)
One atom of each set of equivalent atoms:
1 Li 0.0000 0.0000 0.0000 (multiplicity 2)  6 Te 3.05-3.06
2 Li 0.0000 0.3327 0.0000 (multiplicity 4)  6 Te 3.04-3.06
3 Sm 0.0000 0.1665 0.5000 (multiplicity 4)  6 Te 3.14-3.15
4 U 0.0000 0.5000 0.5000 (multiplicity 2)  6 Te 3.13
5 Te 0.2445 0.5000 0.2393 (multiplicity 4)  3 Li 3.05-3.06, 1 U 3.13, 2 Sm 3.14
6 Te 0.2473 0.1659 0.2389 (multiplicity 8)  3 Li 3.04-3.06, 1 U 3.13, 2 Sm 3.15

Output
total magnetization: 2.94 μB per formula unit
energy relative to the elements, uncorrected: -1.106 eV/atom